Entry 1:
First-principles (PBE-GGA) data for an optimized crystal structure of CeDy2Er2Mg5, as listed in Alexandria.

Cell lengths 5.133, 10.544, 10.544 Å; angles 90.00, 90.00, 90.00 degrees
Each line ends with the local moment (μB).
Element x y z (fractional)
Ce1 0.000 0.000 0.000  0.83
Ce2 0.000 0.500 0.500  0.83
Dy1 0.000 0.678 0.178  -0.01
Dy2 0.000 0.322 0.822  -0.01
Dy3 0.000 0.178 0.322  -0.01
Dy4 0.000 0.822 0.678  -0.01
Er1 0.000 0.118 0.618  -0.01
Er2 0.000 0.882 0.382  -0.01
Er3 0.000 0.618 0.882  -0.01
Er4 0.000 0.382 0.118  -0.01
Mg1 0.500 0.199 0.074  0.00
Mg2 0.500 0.801 0.926  0.00
Mg3 0.500 0.074 0.801  0.00
Mg4 0.500 0.699 0.426  0.00
Mg5 0.500 0.926 0.199  0.00
Mg6 0.500 0.301 0.574  0.00
Mg7 0.500 0.574 0.699  0.00
Mg8 0.500 0.426 0.301  0.00
Mg9 0.500 0.500 0.000  0.00
Mg10 0.500 0.000 0.500  0.00

Computed properties:
E_form in eV per formula unit: 1.25
DOS at the Fermi energy in states/eV/cell: 29.3
Mass density in g/cm3: 5.36


Entry 2:
First-principles (PBE-GGA) data for an optimized crystal structure of ScTi2In2, as listed in Alexandria.

Cell lengths 4.274, 4.274, 6.713 Å; angles 71.44, 71.44, 90.00 degrees
Each line ends with the local moment (μB).
Element x y z (fractional)
Sc1 0.000 0.000 0.000  0.17
Ti1 0.415 0.415 0.170  0.32
Ti2 0.585 0.585 0.830  0.32
In1 0.750 0.250 0.500  -0.01
In2 0.250 0.750 0.500  -0.01

Computed properties:
E_form in eV per formula unit: 1.16
Polymorph energy (0 for the lowest one) in meV/atom: 295
DOS at the Fermi energy in states/eV/cell: 4.6
Mass density in g/cm3: 5.62


Entry 3:
First-principles (PBE-GGA) data for an optimized crystal structure of Hf2NbCu2, as listed in Alexandria.

Cell lengths 7.466, 7.466, 3.123 Å; angles 90.00, 90.00, 90.00 degrees
Element x y z (fractional)
Nb1 0.000 0.000 0.000
Nb2 0.500 0.500 0.000
Hf1 0.177 0.677 0.500
Hf2 0.677 0.823 0.500
Hf3 0.823 0.323 0.500
Hf4 0.323 0.177 0.500
Cu1 0.381 0.881 0.000
Cu2 0.881 0.619 0.000
Cu3 0.619 0.119 0.000
Cu4 0.119 0.381 0.000

Computed properties:
E_form in eV per formula unit: -0.05
Polymorph energy (0 for the lowest one) in meV/atom: 0
DOS at the Fermi energy in states/eV/cell: 12.9
Mass density in g/cm3: 11.01


Entry 4:
First-principles (PBE-GGA) data for an optimized crystal structure of CaLa4Tm3Se8, as listed in Alexandria.

Cell lengths 8.285, 8.461, 8.285 Å; angles 119.31, 120.00, 90.00 degrees
Element x y z (fractional)
Ca1 0.000 0.500 0.000
La1 0.500 0.000 0.000
La2 0.500 0.000 0.500
La3 0.000 0.000 0.000
La4 0.000 0.000 0.500
Tm1 0.500 0.500 0.000
Tm2 0.500 0.500 0.500
Tm3 0.000 0.500 0.500
Se1 0.245 0.728 0.983
Se2 0.245 0.728 0.489
Se3 0.258 0.275 0.516
Se4 0.738 0.728 0.983
Se5 0.262 0.272 0.017
Se6 0.742 0.725 0.484
Se7 0.755 0.272 0.511
Se8 0.755 0.272 0.017

Computed properties:
ΔE_f (raw) in kJ per mole of atoms: -180.32
DOS at the Fermi energy in states/eV/cell: 9.2
Mass density in g/cm3: 6.94


Entry 5:
First-principles (PBE-GGA) data for an optimized crystal structure of Nd2GaS, as listed in Alexandria.

Cell lengths 4.044, 4.044, 7.755 Å; angles 74.89, 74.89, 60.00 degrees
Element x y z (fractional)
S1 0.000 0.000 0.000
Nd1 0.744 0.744 0.768
Nd2 0.256 0.256 0.232
Ga1 0.500 0.500 0.500

Computed properties:
ΔE_f (raw) in kJ per mole of atoms: -121.69
Polymorph energy (0 for the lowest one) in meV/atom: 61
DOS at the Fermi energy in states/eV/cell: 2.1
Mass density in g/cm3: 6.19


Entry 6:
First-principles (PBE-GGA) data for an optimized crystal structure of CaPuAl, as listed in Alexandria.

Cell lengths 3.589, 7.985, 9.081 Å; angles 41.73, 90.00, 102.99 degrees
Each line ends with the local moment (μB).
Element x y z (fractional)
Al1 0.125 0.251 0.907  -0.02
Al2 0.875 0.749 0.093  -0.02
Ca1 0.405 0.810 0.349  0.05
Ca2 0.595 0.190 0.651  0.05
Pu1 0.840 0.679 0.779  5.67
Pu2 0.160 0.321 0.221  5.67

Computed properties:
E_form in eV per formula unit: 0.03
Polymorph energy (0 for the lowest one) in meV/atom: 0
DOS at the Fermi energy in states/eV/cell: 14.3
Mass density in g/cm3: 6.34


Entry 7:
First-principles (PBE-GGA) data for an optimized crystal structure of Zn2CrMo, as listed in Alexandria.

Cell lengths 2.592, 2.592, 8.291 Å; angles 90.00, 90.00, 90.00 degrees
Element x y z (fractional)
Cr1 0.500 0.500 0.250
Mo1 0.500 0.500 0.750
Zn1 0.000 0.000 0.011
Zn2 0.000 0.000 0.489

Computed properties:
E_form in eV per formula unit: 0.83
Polymorph energy (0 for the lowest one) in meV/atom: 75
DOS at the Fermi energy in states/eV/cell: 2.2
Mass density in g/cm3: 8.31


Entry 8:
First-principles (PBE-GGA) data for an optimized crystal structure of CsNa2Au, as listed in Alexandria.

Cell lengths 6.055, 5.038, 5.038 Å; angles 90.00, 90.00, 90.00 degrees
Element x y z (fractional)
Cs1 0.500 0.000 0.000
Na1 0.000 0.000 0.500
Na2 0.000 0.500 0.000
Au1 0.500 0.500 0.500

Computed properties:
E_form in eV per formula unit: -0.19
Polymorph energy (0 for the lowest one) in meV/atom: 132
DOS at the Fermi energy in states/eV/cell: 0.6
Mass density in g/cm3: 4.06


Entry 9:
First-principles (PBE-GGA) data for an optimized crystal structure of In8GaPb3, as listed in Alexandria.

Cell lengths 8.253, 8.253, 8.253 Å; angles 95.68, 101.18, 135.00 degrees
Element x y z (fractional)
In1 0.488 0.246 0.242
In2 0.512 0.754 0.758
In3 0.996 0.754 0.242
In4 0.004 0.246 0.758
In5 0.163 0.245 0.408
In6 0.837 0.246 0.082
In7 0.164 0.755 0.918
In8 0.836 0.754 0.592
Ga1 0.000 0.000 0.000
Pb1 0.500 0.653 0.153
Pb2 0.500 0.347 0.847
Pb3 0.000 0.500 0.500

Computed properties:
E_form in eV per formula unit: 1.21
DOS at the Fermi energy in states/eV/cell: 4.5
Mass density in g/cm3: 7.29


Entry 10:
First-principles (PBE-GGA) data for an optimized crystal structure of K2Ag2Te, as listed in Alexandria.

Cell lengths 7.815, 7.815, 5.097 Å; angles 90.00, 90.00, 90.00 degrees
Element x y z (fractional)
K1 0.186 0.686 0.500
K2 0.686 0.814 0.500
K3 0.814 0.314 0.500
K4 0.314 0.186 0.500
Te1 0.000 0.000 0.000
Te2 0.500 0.500 0.000
Ag1 0.377 0.877 0.000
Ag2 0.877 0.623 0.000
Ag3 0.623 0.123 0.000
Ag4 0.123 0.377 0.000

Computed properties:
ΔE_f (raw) in kJ per mole of atoms: -27.16
Polymorph energy (0 for the lowest one) in meV/atom: 40
DOS at the Fermi energy in states/eV/cell: 0.1
Mass density in g/cm3: 4.50


Entry 11:
First-principles (PBE-GGA) data for an optimized crystal structure of MnCrBi2P, as listed in Alexandria.

Cell lengths 5.077, 4.455, 5.077 Å; angles 90.00, 90.00, 90.00 degrees
Each line ends with the local moment (μB).
Element x y z (fractional)
Cr1 0.000 0.500 0.000  3.25
Mn1 0.000 0.000 0.000  -0.85
Bi1 0.000 0.000 0.500  0.00
Bi2 0.500 0.000 0.000  0.06
P1 0.500 0.500 0.500  -0.01

Computed properties:
E_form in eV per formula unit: 4.36
DOS at the Fermi energy in states/eV/cell: 4.1
Mass density in g/cm3: 8.04


Entry 12:
First-principles (PBE-GGA) data for an optimized crystal structure of AlMoW2Br, as listed in Alexandria.

Cell lengths 4.861, 4.888, 4.861 Å; angles 90.00, 90.00, 90.00 degrees
Each line ends with the local moment (μB).
Element x y z (fractional)
Mo1 0.000 0.000 0.000  -0.21
Br1 0.000 0.500 0.000  0.07
W1 0.000 0.000 0.500  0.71
W2 0.500 0.000 0.000  1.08
Al1 0.500 0.500 0.500  -0.02

Computed properties:
ΔE_f (raw) in kJ per mole of atoms: 189.19
DOS at the Fermi energy in states/eV/cell: 5.6
Mass density in g/cm3: 8.20